The following is a DFT calculation (PBE) of a relaxed Hf3Zr2Bi2C2 crystal.

- ΔH_f (0 K) (eV per atom) = -0.05
- calculated density (g cm⁻³) = 10.4
- D(E_F) (states/eV/atom) = 0.56
- DFT total energy (eV/atom) = -8.18

Unit cell a=10.5800 b=10.5800 c=10.5800 alpha=156.74 beta=156.74 gamma=33.12
Closest atoms and distances in Å follow each position.
Fractional positions:
Hf (0.0000, 0.0000, 0.0000)  4 C 2.13
Hf (0.2500, 0.7500, 0.5000)  4 Bi 3.01, 4 Hf 3.02
Hf (0.7500, 0.2500, 0.5000)  4 Bi 3.01, 4 Hf 3.02
Zr (0.4316, 0.4316, 0.0000)  4 C 2.54, 1 Zr 2.78
Zr (0.5684, 0.5684, 0.0000)  4 C 2.54, 1 Zr 2.78
Bi (0.1450, 0.1450, 0.0000)  5 Hf 2.94-3.01
Bi (0.8550, 0.8550, 0.0000)  5 Hf 2.94-3.01
C (0.0000, 0.5000, 0.5000)  2 Hf 2.13
C (0.5000, 0.0000, 0.5000)  2 Hf 2.13